A | AcAlAs | Alexandria | PBE-GGA | optimized geometry; DOS(E_F) = 0.683 states/eV per atom; space-group type = No. 107
1.0
3.7005 0.0000 0.0000
0.0000 3.7005 0.0000
0.0000 0.0000 11.0916
Ac Al As
2 2 2
direct
0.0000 0.0000 0.0000
0.5000 0.5000 0.5000
0.0000 0.0000 0.2925
0.5000 0.5000 0.7925
0.0000 0.0000 0.7029
0.5000 0.5000 0.2029

B | AcAlAs | Alexandria | PBE-GGA | optimized geometry; DOS(E_F) = 0.538 states/eV per atom; space-group type = No. 71
1.0
4.4716 0.0000 0.0000
0.0000 5.0848 0.0000
0.0000 0.0000 15.0671
Ac Al As
4 4 4
direct
0.0000 0.0000 0.1475
0.0000 0.0000 0.8525
0.5000 0.5000 0.3525
0.5000 0.5000 0.6475
0.0000 0.2615 0.5000
0.0000 0.7385 0.5000
0.5000 0.2385 0.0000
0.5000 0.7615 0.0000
0.0000 0.0000 0.3566
0.0000 0.0000 0.6434
0.5000 0.5000 0.1434
0.5000 0.5000 0.8566

Stability ranking, top entry: B; the second entry is 184 meV per atom less favorable.

A | AcAlAs2 | Alexandria | PBE-GGA | optimized geometry; DOS(E_F) = 0.516 states/eV per atom; space-group type = No. 123
1.0
3.8910 0.0000 0.0000
0.0000 3.8910 0.0000
0.0000 0.0000 6.3225
Ac Al As
1 1 2
direct
0.0000 0.0000 0.0000
0.0000 0.0000 0.5000
0.5000 0.5000 0.2933
0.5000 0.5000 0.7067

B | AcAlAs2 | Alexandria | PBE-GGA | optimized geometry; DOS(E_F) = 0.371 states/eV per atom; space-group type = No. 123
1.0
4.8472 0.0000 0.0000
0.0000 4.8472 0.0000
0.0000 0.0000 4.1059
Ac Al As
1 1 2
direct
0.0000 0.0000 0.0000
0.5000 0.5000 0.0000
0.0000 0.5000 0.5000
0.5000 0.0000 0.5000

C | AcAlAs2 | Alexandria | PBE-GGA | optimized geometry; DOS(E_F) = 0.085 states/eV per atom; space-group type = No. 166
1.0
4.2207 0.0000 0.0000
-2.1103 3.6552 0.0000
0.0000 0.0000 19.6801
Ac Al As
3 3 6
direct
0.0000 0.0000 0.0000
0.3333 0.6667 0.6667
0.6667 0.3333 0.3333
0.0000 0.0000 0.5000
0.3333 0.6667 0.1667
0.6667 0.3333 0.8333
0.0000 0.0000 0.2327
0.0000 0.0000 0.7673
0.3333 0.6667 0.4339
0.3333 0.6667 0.8994
0.6667 0.3333 0.1006
0.6667 0.3333 0.5661

Stability ranking, top entry: C; the second entry is 169 meV per atom less favorable.

A | AcAlAu | Alexandria | PBE-GGA | optimized geometry; DOS(E_F) = 0.841 states/eV per atom; space-group type = No. 25
1.0
3.8447 0.0000 0.0000
0.0000 5.5622 0.0000
0.0000 0.0000 3.9362
Ac Al Au
1 1 1
direct
0.0000 0.0000 0.0000
0.0000 0.5000 0.5015
0.5000 0.5000 0.0035

B | AcAlAu | Alexandria | PBE-GGA | optimized geometry; DOS(E_F) = 1.674 states/eV per atom; space-group type = No. 216
1.0
7.0744 0.0000 0.0000
0.0000 7.0744 0.0000
0.0000 0.0000 7.0744
Ac Al Au
4 4 4
direct
0.0000 0.0000 0.0000
0.0000 0.5000 0.5000
0.5000 0.0000 0.5000
0.5000 0.5000 0.0000
0.0000 0.0000 0.5000
0.0000 0.5000 0.0000
0.5000 0.0000 0.0000
0.5000 0.5000 0.5000
0.2500 0.2500 0.2500
0.2500 0.7500 0.7500
0.7500 0.2500 0.7500
0.7500 0.7500 0.2500

C | AcAlAu | Alexandria | PBE-GGA | optimized geometry; DOS(E_F) = 1.149 states/eV per atom; space-group type = No. 187
1.0
4.6320 0.0000 0.0000
-2.3160 4.0114 0.0000
0.0000 0.0000 4.3267
Ac Al Au
1 1 1
direct
0.0000 0.0000 0.0000
0.6667 0.3333 0.5000
0.3333 0.6667 0.5000

D | AcAlAu | Alexandria | PBE-GGA | optimized geometry; DOS(E_F) = 0.767 states/eV per atom; space-group type = No. 12
1.0
11.1137 0.0000 0.0000
0.0000 4.7097 0.0000
-5.2886 0.0000 5.8984
Ac Al Au
4 4 4
direct
0.0442 0.0000 0.3102
0.4558 0.5000 0.6898
0.5442 0.5000 0.3102
0.9558 0.0000 0.6898
0.1586 0.5000 0.0957
0.3414 0.0000 0.9043
0.6586 0.0000 0.0957
0.8414 0.5000 0.9043
0.1868 0.5000 0.7404
0.3132 0.0000 0.2596
0.6868 0.0000 0.7404
0.8132 0.5000 0.2596

Stability ranking, top entry: C; the second entry is 8 meV per atom less favorable.

A | AcAl2Au2 | Alexandria | PBE-GGA | optimized geometry; DOS(E_F) = 0.461 states/eV per atom; space-group type = No. 139
1.0
4.4059 0.0000 0.0000
0.0000 4.4059 0.0000
0.0000 0.0000 11.4983
Ac Al Au
2 4 4
direct
0.0000 0.0000 0.0000
0.5000 0.5000 0.5000
0.0000 0.5000 0.2500
0.0000 0.5000 0.7500
0.5000 0.0000 0.2500
0.5000 0.0000 0.7500
0.0000 0.0000 0.3739
0.0000 0.0000 0.6261
0.5000 0.5000 0.1261
0.5000 0.5000 0.8739

B | AcAl2Au2 | Alexandria | PBE-GGA | optimized geometry; DOS(E_F) = 0.531 states/eV per atom; space-group type = No. 129
1.0
4.5720 0.0000 0.0000
0.0000 4.5720 0.0000
0.0000 0.0000 10.5766
Ac Al Au
2 4 4
direct
0.2500 0.2500 0.2473
0.7500 0.7500 0.7527
0.2500 0.2500 0.8728
0.2500 0.7500 0.5000
0.7500 0.2500 0.5000
0.7500 0.7500 0.1272
0.2500 0.2500 0.6273
0.2500 0.7500 0.0000
0.7500 0.2500 0.0000
0.7500 0.7500 0.3727

Stability ranking, top entry: A; the second entry is 5 meV per atom less favorable.

A | AcAl2Au6 | Alexandria | PBE-GGA | optimized geometry; DOS(E_F) = 0.398 states/eV per atom; space-group type = No. 123
1.0
4.7432 0.0000 0.0000
0.0000 4.7432 0.0000
0.0000 0.0000 8.2487
Ac Al Au
1 2 6
direct
0.0000 0.0000 0.0000
0.5000 0.5000 0.1620
0.5000 0.5000 0.8380
0.0000 0.0000 0.5000
0.0000 0.5000 0.2901
0.0000 0.5000 0.7099
0.5000 0.0000 0.2901
0.5000 0.0000 0.7099
0.5000 0.5000 0.5000

B | AcAl2Au6 | Alexandria | PBE-GGA | optimized geometry; DOS(E_F) = 0.684 states/eV per atom; space-group type = No. 227
1.0
0.0000 6.0018 6.0018
6.0018 0.0000 6.0018
6.0018 6.0018 0.0000
Ac Al Au
2 4 12
direct
0.1250 0.1250 0.1250
0.8750 0.8750 0.8750
0.0000 0.5000 0.5000
0.5000 0.0000 0.5000
0.5000 0.5000 0.0000
0.5000 0.5000 0.5000
0.1362 0.1362 0.6138
0.1362 0.6138 0.1362
0.1362 0.6138 0.6138
0.3862 0.3862 0.8638
0.3862 0.8638 0.3862
0.3862 0.8638 0.8638
0.6138 0.1362 0.1362
0.6138 0.1362 0.6138
0.6138 0.6138 0.1362
0.8638 0.3862 0.3862
0.8638 0.3862 0.8638
0.8638 0.8638 0.3862

Stability ranking, top entry: A; the second entry is 194 meV per atom less favorable.

A | Ac3AlAu3 | Alexandria | PBE-GGA | optimized geometry; DOS(E_F) = 0.722 states/eV per atom; space-group type = No. 12
1.0
5.9656 -2.2055 0.0000
5.9656 2.2055 0.0000
-5.3641 0.0000 15.3162
Ac Al Au
6 2 6
direct
0.0170 0.0170 0.3843
0.1002 0.1002 0.9200
0.2369 0.2369 0.2345
0.7631 0.7631 0.7655
0.8998 0.8998 0.0800
0.9830 0.9830 0.6157
0.2595 0.2595 0.5867
0.7405 0.7405 0.4133
0.3576 0.3576 0.4565
0.3768 0.3768 0.9225
0.4708 0.4708 0.7621
0.5292 0.5292 0.2379
0.6232 0.6232 0.0775
0.6424 0.6424 0.5435

B | Ac3AlAu3 | Alexandria | PBE-GGA | optimized geometry; DOS(E_F) = 1.192 states/eV per atom; space-group type = No. 176
1.0
9.3665 0.0000 0.0000
-4.6833 8.1116 0.0000
0.0000 0.0000 6.2859
Ac Al Au
6 2 6
direct
0.0640 0.7002 0.2500
0.2998 0.3637 0.2500
0.3637 0.0640 0.7500
0.6363 0.9360 0.2500
0.7002 0.6363 0.7500
0.9360 0.2998 0.7500
0.3333 0.6667 0.7500
0.6667 0.3333 0.2500
0.0689 0.6919 0.7500
0.3081 0.3771 0.7500
0.3771 0.0689 0.2500
0.6229 0.9311 0.7500
0.6919 0.6229 0.2500
0.9311 0.3081 0.2500

Stability ranking, top entry: A; the second entry is 171 meV per atom less favorable.